(1)
Below is a relaxed structure of CaGa12Rh4, with properties calculated at the PBE level.

extended XYZ file:
```
17
Lattice="7.6424 0.0000 0.0000 -2.5475 7.2053 0.0000 -2.5475 -3.6027 6.2400" Properties=species:S:1:pos:R:3 pbc="T T T"
Ga -1.6428 4.7903 2.1330
Rh -1.2737 -1.8013 3.1200
Ga 2.5164 5.3342 1.0250
Ga 3.4521 2.9630 3.0820
Ga 1.6428 0.5479 5.2150
Ga 2.5785 -0.0479 2.1330
Ca 0.0000 0.0000 0.0000
Ga -2.5165 1.7794 5.1321
Ga 0.9046 3.0548 1.0250
Ga 5.0639 1.8233 1.1080
Ga -0.0310 3.6506 4.1070
Ga 4.1903 -1.1876 4.1070
Rh 3.8212 0.0000 0.0000
Ga -0.9046 0.6397 3.1580
Rh -1.2737 3.6027 0.0000
Ga 0.0310 -1.7315 5.2150
Rh 1.2737 1.8013 3.1200
```

Output
As for the crystal system: cubic. The value obtained for the density of states at the Fermi level is 10.393 states/eV/f.u. The value obtained for the magnetization is 0.00 μB/cell. The total energy is -71.46 eV per cell. For the volume, the calculation gives 344 Å³ per cell.

***

(2)
Below is a relaxed structure of CsTl2BiSb, with properties calculated at the PBE level.

extended XYZ file:
```
5
Lattice="-1.6731 -3.7470 4.4590 6.3258 -3.8370 -0.8508 2.7254 3.5963 4.0448" Properties=species:S:1:pos:R:3 pbc="T T T"
Cs 3.1629 -1.9185 -0.4254
Sb 3.6890 -1.9939 3.8265
Tl 1.3627 1.7982 2.0224
Tl -0.8366 -1.8735 2.2295
Bi 0.0000 0.0000 0.0000
```

Output
The calculation puts the uncorrected formation energy at 0.39 eV per atom. As for the crystal system: tetragonal. The value obtained for the density of states at the Fermi level is 5.223 states/eV/f.u. The value obtained for the magnetization is 1.73 μB/cell. For the volume, the calculation gives 273 Å³ per cell.

***

(3)
Below is a relaxed structure of NiCl, with properties calculated at the PBE level.

extended XYZ file:
```
8
Lattice="6.6110 0.0000 0.0000 0.0000 6.6110 0.0000 0.0000 0.0000 3.4644" Properties=species:S:1:pos:R:3 pbc="T T T"
Cl 1.9061 4.7049 0.0000
Cl 1.3994 1.3994 1.7322
Ni 5.7869 0.8241 1.7322
Cl 5.2116 5.2116 1.7322
Ni 0.8241 5.7869 1.7322
Ni 4.1296 4.1296 0.0000
Ni 2.4814 2.4814 0.0000
Cl 4.7049 1.9061 0.0000
```

Output
The calculation puts the uncorrected formation energy at -0.13 eV per atom. As for the crystal system: tetragonal. The value obtained for the density of states at the Fermi level is 0.758 states/eV/f.u. The value obtained for the magnetization is 4.00 μB/cell. For the volume, the calculation gives 151 Å³ per cell.

***

(4)
Below is a relaxed structure of NpSc2Pd, with properties calculated at the PBE level.

extended XYZ file:
```
4
Lattice="3.2038 0.0000 0.0000 0.0000 5.0241 0.0000 0.0000 0.0000 5.0241" Properties=species:S:1:pos:R:3 pbc="T T T"
Np 1.6019 2.5120 2.5120
Sc 0.0000 2.5120 0.0000
Pd 1.6019 0.0000 0.0000
Sc 0.0000 0.0000 2.5120
```

Output
As for the crystal system: tetragonal. The value obtained for the density of states at the Fermi level is 7.335 states/eV/f.u. The value obtained for the magnetization is 4.65 μB/cell. The total energy is -30.91 eV per cell. For the volume, the calculation gives 81 Å³ per cell.

***

(5)
Below is a relaxed structure of SrLa2SN, with properties calculated at the PBE level.

extended XYZ file:
```
5
Lattice="-2.6341 1.3137 -3.9581 2.1732 -3.8206 -2.7143 -3.6175 -3.0491 1.3954" Properties=species:S:1:pos:R:3 pbc="T T T"
La -1.3170 0.6569 -1.9790
N 0.0000 0.0000 0.0000
S -2.0392 -2.7780 -2.6385
La -1.8088 -1.5245 0.6977
Sr 1.0866 -1.9103 -1.3572
```

Output
The calculation puts the uncorrected formation energy at -0.83 eV per atom. As for the crystal system: tetragonal. The value obtained for the density of states at the Fermi level is 5.045 states/eV/f.u. The value obtained for the magnetization is 0.00 μB/cell. For the volume, the calculation gives 126 Å³ per cell.

***

(6)
Below is a relaxed structure of LiFe3Pt4, with properties calculated at the PBE level.

extended XYZ file:
```
8
Lattice="-2.2686 2.5922 1.8996 -2.4842 0.0607 -3.0496 -1.3544 -6.7407 3.5079" Properties=species:S:1:pos:R:3 pbc="T T T"
Pt -5.1894 -2.7566 1.6372
Pt -2.8130 -4.0830 2.2122
Pt -3.2942 -0.0049 0.1456
Fe -1.2421 0.0303 -1.5248
Li -1.1343 1.2961 0.9498
Fe -3.1272 -2.7053 -0.0431
Pt -0.9178 -1.3313 0.7206
Fe -2.9800 -1.3826 2.4009
```

Output
As for the crystal system: tetragonal. The value obtained for the density of states at the Fermi level is 4.890 states/eV/f.u. The value obtained for the magnetization is 10.68 μB/cell. The total energy is -53.98 eV per cell. For the volume, the calculation gives 111 Å³ per cell.

***

(7)
Below is a relaxed structure of AcPmPrPb, with properties calculated at the PBE level.

extended XYZ file:
```
4
Lattice="-0.2637 -2.4917 5.1624 -3.4121 -4.5395 0.8239 2.2878 -5.2021 0.7953" Properties=species:S:1:pos:R:3 pbc="T T T"
Pm -0.6940 -6.1167 3.3908
Pb -0.3470 -3.0583 1.6954
Pr 0.0000 0.0000 0.0000
Ac -1.0410 -9.1750 5.0862
```

Output
As for the crystal system: cubic. The value obtained for the density of states at the Fermi level is 6.954 states/eV/f.u. The value obtained for the magnetization is 0.00 μB/cell. The total energy is -17.86 eV per cell. For the volume, the calculation gives 134 Å³ per cell.

***

(8)
Below is a relaxed structure of Na7LiTl3, with properties calculated at the PBE level.

extended XYZ file:
```
22
Lattice="1.8086 -13.4543 0.0000 1.8086 13.4543 0.0000 0.0000 0.0000 14.1549" Properties=species:S:1:pos:R:3 pbc="T T T"
Na 1.8086 -1.4685 8.9160
Na 1.8086 4.7210 3.5387
Tl 1.8086 9.3861 3.5387
Na 1.8086 1.4685 1.8385
Tl 1.8086 -9.3861 10.6161
Na 1.8086 -2.3707 5.7321
Tl 1.8086 -9.2531 0.6928
Na 1.8086 -2.3707 1.3453
Na 1.8086 -4.7210 10.6161
Li 1.8086 -12.5069 10.6161
Na 1.8086 -1.4685 12.3163
Tl 1.8086 9.2531 13.4620
Na 1.8086 -6.0514 1.5216
Li 1.8086 12.5069 3.5387
Na 1.8086 1.4685 5.2389
Na 1.8086 2.3707 12.8095
Na 1.8086 -6.0514 5.5558
Tl 1.8086 9.2531 7.7702
Na 1.8086 6.0514 12.6332
Na 1.8086 2.3707 8.4227
Tl 1.8086 -9.2531 6.3846
Na 1.8086 6.0514 8.5991
```

Output
As for the crystal system: orthorhombic. The value obtained for the density of states at the Fermi level is 5.783 states/eV/f.u. The value obtained for the magnetization is 0.00 μB/cell. The total energy is -37.29 eV per cell. For the volume, the calculation gives 689 Å³ per cell.

***

(9)
Below is a relaxed structure of Ac8La3Er2, with properties calculated at the PBE level.

extended XYZ file:
```
13
Lattice="-5.8712 1.7462 -0.9597 -0.3506 4.5949 10.4651 2.2382 10.1580 4.7497" Properties=species:S:1:pos:R:3 pbc="T T T"
Ac -5.6157 3.7338 1.0907
Ac -2.3324 8.6710 9.9886
Ac 1.6321 12.7653 13.1644
Ac 0.6075 4.7681 4.9162
Ac -1.2361 11.0269 7.5681
Ac -2.7475 5.4722 6.6870
Ac -1.6511 7.8281 4.2666
Er -2.4828 4.4311 3.1884
Ac -4.5911 11.7310 9.3389
La 0.4147 6.2394 8.7756
Er -1.5008 12.0680 11.0667
La -2.9356 0.8731 -0.4798
La 1.4729 8.5135 6.4392
```

Output
As for the crystal system: monoclinic. The value obtained for the density of states at the Fermi level is 19.469 states/eV/f.u. The value obtained for the magnetization is 0.00 μB/cell. The total energy is -54.02 eV per cell. For the volume, the calculation gives 553 Å³ per cell.

***

(10)
Below is a relaxed structure of MgSc2P2, with properties calculated at the PBE level.

extended XYZ file:
```
10
Lattice="7.0626 0.0000 0.0000 0.0000 7.0626 0.0000 0.0000 0.0000 3.5697" Properties=species:S:1:pos:R:3 pbc="T T T"
P 5.9926 4.6014 0.0000
P 1.0701 2.4612 0.0000
Sc 4.6199 5.9740 1.7849
Mg 3.5313 3.5313 0.0000
Sc 2.4427 1.0886 1.7849
Mg 0.0000 0.0000 0.0000
P 2.4612 5.9926 0.0000
P 4.6014 1.0701 0.0000
Sc 1.0886 4.6199 1.7849
Sc 5.9740 2.4427 1.7849
```

Output
As for the crystal system: tetragonal. The value obtained for the density of states at the Fermi level is 0.266 states/eV/f.u. The value obtained for the magnetization is 0.00 μB/cell. The total energy is -61.12 eV per cell. For the volume, the calculation gives 178 Å³ per cell.

***

(11)
Below is a relaxed structure of CaPm2Sc, with properties calculated at the PBE level.

extended XYZ file:
```
4
Lattice="-2.0291 1.2760 -2.6596 -2.4355 -2.1080 -1.5631 -9.6444 3.2697 6.5168" Properties=species:S:1:pos:R:3 pbc="T T T"
Pm -3.3266 0.5221 0.3785
Pm -7.8003 2.4677 4.7251
Sc -2.9781 -0.5540 -2.8136
Ca -7.0586 1.2206 1.1509
```

Output
As for the crystal system: trigonal. The value obtained for the density of states at the Fermi level is 5.159 states/eV/f.u. The value obtained for the magnetization is 0.00 μB/cell. The total energy is -17.51 eV per cell. For the volume, the calculation gives 132 Å³ per cell.

***

(12)
Below is a relaxed structure of Nd2Dy3Tl, with properties calculated at the PBE level.

extended XYZ file:
```
6
Lattice="-1.9026 -2.3786 1.6785 4.6887 -0.6465 4.3986 -5.0805 7.8982 1.8305" Properties=species:S:1:pos:R:3 pbc="T T T"
Dy 4.3076 -0.5939 4.0411
Dy 0.9825 0.1296 4.9002
Tl 0.6302 -1.4073 2.3229
Nd 0.6182 3.5542 5.7372
Nd -1.7981 1.1653 3.2160
Dy -2.1084 4.5825 4.1037
```

Output
As for the crystal system: orthorhombic. The value obtained for the density of states at the Fermi level is 8.573 states/eV/f.u. The value obtained for the magnetization is 0.00 μB/cell. The total energy is -25.03 eV per cell. For the volume, the calculation gives 199 Å³ per cell.

***

(13)
Below is a relaxed structure of AgSb2Pd, with properties calculated at the PBE level.

extended XYZ file:
```
4
Lattice="-3.8946 -0.7934 -1.7069 -0.9511 -3.9543 -1.4729 -3.5984 -3.0441 4.1444" Properties=species:S:1:pos:R:3 pbc="T T T"
Ag -4.2295 -3.9014 0.5020
Sb -3.1743 -2.7316 3.0317
Sb -2.0277 -1.8866 0.0225
Pd -3.2345 -3.1681 -2.1092
```

Output
The calculation puts the uncorrected formation energy at -0.12 eV per atom. As for the crystal system: trigonal. The value obtained for the density of states at the Fermi level is 1.409 states/eV/f.u. The value obtained for the magnetization is 0.00 μB/cell. For the volume, the calculation gives 93 Å³ per cell.